No. 1
Density functional theory data (GGA-PBE) for crystalline PaNiSb2N at its relaxed geometry.

Computed properties:
- ΔE_f (raw): -0.748 eV per atom
- Total DFT energy (no corrections): -71.17 eV for the cell shown
- Total magnetization: 0.00 μB per formula unit

abc: 3.7974 3.7974 14.3803
angles: 90.00 90.00 90.00
With the nearest neighbours (Å) after each atom.
Space group P4/nmm (No. 129, origin choice 2)
Unique sites:
Pa (0.2500, 0.2500, 0.0854)  4 N 2.26
Ni (0.2500, 0.2500, 0.6035)  6 Sb 2.53-2.72
Sb (0.2500, 0.2500, 0.4248)  5 Ni 2.57-2.72
Sb (0.2500, 0.2500, 0.7793)  1 Ni 2.53
N (0.2500, 0.7500, 0.0000)  4 Pa 2.26


No. 2
Density functional theory data (GGA-PBE) for crystalline Sc2PaNiN4 at its relaxed geometry.

Computed properties:
- ΔE_f (raw): -1.357 eV per atom
- Total DFT energy (no corrections): -288.40 eV for the cell shown
- Total magnetization: 0.65 μB per formula unit

abc: 3.2402 10.7427 10.9069
angles: 90.00 90.00 90.00
With the nearest neighbours (Å) after each atom.
Space group Cmcm (No. 63)
Unique sites:
Sc (0.0000, 0.1286, 0.0517)  6 N 2.16-2.41
Pa (0.0000, 0.3874, 0.2500)  6 N 2.35-2.43
Ni (0.0000, 0.3500, 0.7500)  4 N 1.95-1.97
N (0.0000, 0.0452, 0.2500)  2 Ni 1.97
N (0.0000, 0.2219, 0.6235)  1 Ni 1.95, 1 Sc 2.16
N (0.0000, 0.5000, 0.0000)  4 Sc 2.20


No. 3
Density functional theory data (GGA-PBE) for crystalline Pa2NiSe2N2 at its relaxed geometry.

Computed properties:
- ΔE_f (raw): -1.203 eV per atom
- Total DFT energy (no corrections): -56.82 eV for the cell shown
- Total magnetization: 0.14 μB per formula unit

abc: 3.9181 3.9181 11.0322
angles: 90.00 90.00 120.00
With the nearest neighbours (Å) after each atom.
Space group P-3m1 (No. 164)
Unique sites:
Pa (0.3333, 0.6667, 0.1307)  4 N 2.27-2.34
Ni (0.0000, 0.0000, 0.5000)  2 Se 2.24
Se (0.0000, 0.0000, 0.2969)  1 Ni 2.24
N (0.3333, 0.6667, 0.9248)  4 Pa 2.27-2.34


No. 4
Density functional theory data (GGA-PBE) for crystalline SmPa2NiN5 at its relaxed geometry.

Computed properties:
- ΔE_f (raw): -1.025 eV per atom
- Total DFT energy (no corrections): -321.36 eV for the cell shown
- Total magnetization: 0.00 μB per formula unit

abc: 3.4552 13.8062 10.0309
angles: 90.00 90.00 90.00
With the nearest neighbours (Å) after each atom.
Space group Cmc2_1 (No. 36)
Unique sites:
Sm (0.0000, 0.2019, 0.0000)  4 N 2.31-2.44
Pa (0.0000, 0.0965, 0.6899)  3 N 2.23-2.40
Pa (0.0000, 0.1295, 0.3033)  5 N 2.30-2.32
Ni (0.0000, 0.4805, 0.4710)  3 N 1.89-2.04
N (0.0000, 0.0508, 0.0986)  2 Ni 2.19, 2 Pa 2.23-2.32, 1 Sm 2.31
N (0.0000, 0.2797, 0.7139)  3 Pa 2.32-2.54
N (0.0000, 0.3549, 0.3637)  1 Ni 2.04
N (0.0000, 0.3777, 0.0282)  1 Ni 2.04
N (0.0000, 0.4797, 0.7912)  1 Ni 1.89


No. 5
Density functional theory data (GGA-PBE) for crystalline Pa2NiSnN5 at its relaxed geometry.

Computed properties:
- ΔE_f (raw): -0.619 eV per atom
- Total DFT energy (no corrections): -303.91 eV for the cell shown
- Total magnetization: 0.96 μB per formula unit

abc: 3.3257 13.5479 9.9836
angles: 90.00 90.00 90.00
With the nearest neighbours (Å) after each atom.
Space group Cmc2_1 (No. 36)
Unique sites:
Pa (0.0000, 0.1015, 0.0000)  5 N 2.25-2.48
Pa (0.0000, 0.1365, 0.6164)  6 N 2.34-2.60
Ni (0.0000, 0.4967, 0.7918)  4 N 1.92-2.02
Sn (0.0000, 0.1949, 0.3184)  6 N 2.18-2.38
N (0.0000, 0.0428, 0.3886)  2 Ni 2.00, 1 Sn 2.18
N (0.0000, 0.2886, 0.9868)  3 Pa 2.34-2.54, 2 Sn 2.38
N (0.0000, 0.3116, 0.6734)  2 Sn 2.21, 1 Pa 2.44
N (0.0000, 0.3567, 0.3286)  1 Ni 2.02, 1 Sn 2.19
N (0.0000, 0.4874, 0.1002)  1 Ni 1.92


No. 6
Density functional theory data (GGA-PBE) for crystalline PaNiSnN at its relaxed geometry.

Computed properties:
- ΔE_f (raw): -0.785 eV per atom
- Total DFT energy (no corrections): -61.49 eV for the cell shown
- Total magnetization: 0.00 μB per formula unit

abc: 4.1817 4.1817 7.8047
angles: 90.00 90.00 90.00
With the nearest neighbours (Å) after each atom.
Space group P4/nmm (No. 129, origin choice 2)
Unique sites:
Pa (0.2500, 0.2500, 0.1308)  4 N 2.33
Ni (0.2500, 0.2500, 0.6932)  4 Sn 2.58
Sn (0.2500, 0.7500, 0.5000)  4 Ni 2.58
N (0.2500, 0.7500, 0.0000)  4 Pa 2.33